5
Lattice="4.360 0.000 0.000 0.000 4.190 0.000 0.000 0.000 4.360" Properties=species:S:1:pos:R:3 comment="NaMgCo2W (PBE, relaxed)" polymorph_energy_ev_per_atom=0.049 space_group="P4/mmm, No. 123" ef_ev_per_atom=1.8987 mass_density_g_cm3=7.276 final_energy_ev_per_atom=-4.117 pbc="T T T"
W 2.180 2.095 2.180
Co 2.180 0.000 0.000
Na 0.000 0.000 0.000
Mg 0.000 2.095 0.000
Co 0.000 0.000 2.180